Computed, not measured: Th2TePb after structural relaxation at the GGA-PBE level of DFT.

E_form (uncorrected) = -0.6538 eV per atom
crystal system = tetragonal
final energy = -6.08 eV/atom
size of the total moment = 0.00 μB per formula unit
distance to the lowest polymorph of the same formula = 2 meV per atom

a b c (Å): 3.7722 3.7722 8.2758
angles (deg): 90.00 90.00 90.00
Closest atoms and distances in Å follow each position.
Fractional coordinates of all 4 atoms:
Th1 0.0000 0.0000 0.2411  4 Te 3.33, 4 Pb 3.42
Th2 0.0000 0.0000 0.7589  4 Te 3.33, 4 Pb 3.42
Te1 0.5000 0.5000 0.0000  8 Th 3.33
Pb1 0.5000 0.5000 0.5000  8 Th 3.42, 4 Pb 3.77

Computed, not measured: TlRh3 after structural relaxation at the GGA-PBE level of DFT.

crystal system = orthorhombic
final energy = -5.91 eV/atom
size of the total moment = 0.00 μB per formula unit

a b c (Å): 4.8058 4.8058 2.9023
angles (deg): 90.00 90.00 106.56
Closest atoms and distances in Å follow each position.
Fractional coordinates of all 4 atoms:
Tl1 0.0000 0.0000 0.0000  10 Rh 2.81-2.87, 2 Tl 2.90
Rh1 0.0000 0.5000 0.5000  4 Tl 2.81, 8 Rh 2.81-2.90
Rh2 0.5000 0.0000 0.5000  4 Tl 2.81, 8 Rh 2.81-2.90
Rh3 0.5000 0.5000 0.0000  10 Rh 2.81-2.90, 2 Tl 2.87

Computed, not measured: ZnNi2GeAs after structural relaxation at the GGA-PBE level of DFT.

crystal system = tetragonal
final energy = -3.62 eV/atom
size of the total moment = 0.00 μB per formula unit

a b c (Å): 4.4450 4.4450 4.5234
angles (deg): 90.00 90.00 90.00
Closest atoms and distances in Å follow each position.
Fractional coordinates of all 5 atoms:
Zn1 0.0000 0.0000 0.0000  4 Ni 2.22, 2 Ge 2.26
Ni1 0.0000 0.5000 0.0000  2 Zn 2.22
Ni2 0.5000 0.0000 0.0000  2 Zn 2.22
Ge1 0.0000 0.0000 0.5000  2 Zn 2.26
As1 0.5000 0.5000 0.5000  4 Ge 3.14, 8 Ni 3.17

Computed, not measured: LiAc2Tb after structural relaxation at the GGA-PBE level of DFT.

crystal system = trigonal
final energy = -3.49 eV/atom
size of the total moment = 0.00 μB per formula unit
distance to the lowest polymorph of the same formula = 131 meV per atom

a b c (Å): 13.0590 13.0590 13.0590
angles (deg): 16.63 16.63 16.63
Closest atoms and distances in Å follow each position.
Fractional coordinates of all 4 atoms:
Li1 0.0000 0.0000 0.0000  2 Ac 3.45, 6 Li 3.78
Ac1 0.0894 0.0894 0.0894  1 Li 3.45, 3 Tb 3.70, 6 Ac 3.78
Ac2 0.9106 0.9106 0.9106  1 Li 3.45, 3 Tb 3.70, 6 Ac 3.78
Tb1 0.5000 0.5000 0.5000  6 Ac 3.70, 6 Tb 3.78

Computed, not measured: YTc2Os after structural relaxation at the GGA-PBE level of DFT.

crystal system = monoclinic
final energy = -9.37 eV/atom
size of the total moment = 0.00 μB per formula unit
distance to the lowest polymorph of the same formula = 247 meV per atom

a b c (Å): 5.2011 5.2011 4.9155
angles (deg): 106.80 106.80 34.26
Closest atoms and distances in Å follow each position.
Fractional coordinates of all 4 atoms:
Y1 0.0000 0.0000 0.0000  4 Os 2.90, 6 Tc 3.06-3.13, 2 Y 3.06
Tc1 0.2223 0.2223 0.6853  2 Tc 2.56, 2 Os 2.62
Tc2 0.7777 0.7777 0.3147  2 Tc 2.56, 2 Os 2.62
Os1 0.5000 0.5000 0.5000  4 Tc 2.62, 4 Y 2.90

Computed, not measured: TiBeInNi after structural relaxation at the GGA-PBE level of DFT.

crystal system = cubic
final energy = -5.17 eV/atom
size of the total moment = 0.00 μB per formula unit

a b c (Å): 4.2996 4.2996 4.2996
angles (deg): 60.00 60.00 60.00
Closest atoms and distances in Å follow each position.
Fractional coordinates of all 4 atoms:
Ti1 0.0000 0.0000 0.0000  4 Ni 2.63, 4 Be 2.63
Be1 0.2500 0.2500 0.2500  4 In 2.63, 4 Ti 2.63
In1 0.5000 0.5000 0.5000  4 Be 2.63, 4 Ni 2.63
Ni1 0.7500 0.7500 0.7500  4 In 2.63, 4 Ti 2.63

Computed, not measured: LiMn2Co after structural relaxation at the GGA-PBE level of DFT.

crystal system = orthorhombic
final energy = -6.54 eV/atom
size of the total moment = 6.11 μB per formula unit
distance to the lowest polymorph of the same formula = 121 meV per atom

a b c (Å): 4.8286 4.8286 4.8286
angles (deg): 146.29 129.90 61.75
Closest atoms and distances in Å follow each position.
Fractional coordinates of all 4 atoms:
Li1 0.0000 0.0000 0.0000  2 Co 2.47, 6 Mn 2.49-2.61
Mn1 0.2661 0.7661 0.5000  4 Co 2.48, 2 Mn 2.56, 2 Li 2.61
Mn2 0.5242 0.5242 0.0000  2 Co 2.37, 4 Li 2.49, 2 Mn 2.56
Co1 0.7546 0.2546 0.5000  6 Mn 2.37-2.48, 2 Li 2.47

Computed, not measured: Tb6Nd2Tm3 after structural relaxation at the GGA-PBE level of DFT.

crystal system = monoclinic
final energy = -4.43 eV/atom
size of the total moment = 0.00 μB per formula unit
distance to the lowest polymorph of the same formula = 0 meV per atom

a b c (Å): 6.1148 6.1148 11.6863
angles (deg): 95.05 95.05 120.06
Closest atoms and distances in Å follow each position.
Fractional coordinates of all 11 atoms:
Tb1 0.0845 0.4180 0.7545  3 Tm 3.48-3.49, 6 Tb 3.53, 2 Nd 3.56-3.57
Tb2 0.2491 0.2491 0.2457  3 Tm 3.48, 6 Tb 3.53, 2 Nd 3.56
Tb3 0.4180 0.0845 0.7545  3 Tm 3.48-3.49, 6 Tb 3.53, 2 Nd 3.56-3.57
Tb4 0.5820 0.9155 0.2455  3 Tm 3.48-3.49, 6 Tb 3.53, 2 Nd 3.56-3.57
Tb5 0.7509 0.7509 0.7543  3 Tm 3.48, 6 Tb 3.53, 2 Nd 3.56
Tb6 0.9155 0.5820 0.2455  3 Tm 3.48-3.49, 6 Tb 3.53, 2 Nd 3.56-3.57
Nd1 0.3333 0.6667 0.5000  3 Nd 3.53, 6 Tb 3.56-3.57
Nd2 0.6667 0.3333 0.5000  3 Nd 3.53, 6 Tb 3.56-3.57
Tm1 0.1655 0.8345 0.0000  6 Tb 3.48-3.49, 6 Tm 3.51-3.54
Tm2 0.5000 0.5000 0.0000  6 Tb 3.48, 6 Tm 3.52-3.54
Tm3 0.8345 0.1655 0.0000  6 Tb 3.48-3.49, 6 Tm 3.51-3.54

Computed, not measured: Na4P2Pt after structural relaxation at the GGA-PBE level of DFT.

crystal system = trigonal
final energy = -3.55 eV/atom
size of the total moment = 0.00 μB per formula unit

a b c (Å): 8.8248 8.8248 8.8248
angles (deg): 32.25 32.25 32.25
Closest atoms and distances in Å follow each position.
Fractional coordinates of all 7 atoms:
Na1 0.1234 0.1234 0.1234  3 Pt 3.03, 3 P 3.06
Na2 0.2927 0.2927 0.2927  4 P 2.96-2.98
Na3 0.7073 0.7073 0.7073  4 P 2.96-2.98
Na4 0.8766 0.8766 0.8766  3 Pt 3.03, 3 P 3.06
P1 0.4106 0.4106 0.4106  1 Pt 2.24
P2 0.5894 0.5894 0.5894  1 Pt 2.24
Pt1 0.5000 0.5000 0.5000  2 P 2.24

Computed, not measured: LiCe2Ga3Ir4 after structural relaxation at the GGA-PBE level of DFT.

crystal system = tetragonal
final energy = -6.45 eV/atom
size of the total moment = 1.19 μB per formula unit

a b c (Å): 4.0938 4.0938 10.9365
angles (deg): 90.00 90.00 90.00
Closest atoms and distances in Å follow each position.
Fractional coordinates of all 10 atoms:
Li1 0.0000 0.0000 0.0000  4 Ir 2.59, 4 Ga 2.89
Ce1 0.0000 0.5000 0.7511  8 Ir 3.11-3.43, 6 Ga 3.19-3.41, 2 Li 3.41
Ce2 0.5000 0.0000 0.2489  8 Ir 3.11-3.43, 6 Ga 3.19-3.41, 2 Li 3.41
Ga1 0.0000 0.5000 0.3718  5 Ir 2.47-2.48
Ga2 0.5000 0.0000 0.6282  5 Ir 2.47-2.48
Ga3 0.5000 0.5000 0.0000  4 Ir 2.59, 4 Li 2.89
Ir1 0.0000 0.0000 0.5000  4 Ga 2.48
Ir2 0.0000 0.5000 0.1457  3 Ga 2.47-2.59, 2 Li 2.59
Ir3 0.5000 0.0000 0.8543  3 Ga 2.47-2.59, 2 Li 2.59
Ir4 0.5000 0.5000 0.5000  4 Ga 2.48

Computed, not measured: CaTl2Co after structural relaxation at the GGA-PBE level of DFT.

crystal system = tetragonal
final energy = -3.26 eV/atom
size of the total moment = 0.94 μB per formula unit

a b c (Å): 3.5072 3.5072 7.8115
angles (deg): 90.00 90.00 90.00
Closest atoms and distances in Å follow each position.
Fractional coordinates of all 4 atoms:
Ca1 0.0000 0.0000 0.0000  1 Tl 3.08, 4 Co 3.12
Tl1 0.0000 0.0000 0.3942  4 Co 2.75, 1 Ca 3.08
Tl2 0.5000 0.5000 0.6885  8 Tl 3.38-3.51, 4 Ca 3.47, 1 Co 3.49
Co1 0.5000 0.5000 0.2415  4 Tl 2.75

Computed, not measured: TmUBiO6 after structural relaxation at the GGA-PBE level of DFT.

E_form (uncorrected) = -2.7276 eV per atom
crystal system = trigonal
final energy = -8.22 eV/atom
size of the total moment = 0.00 μB per formula unit

a b c (Å): 5.7819 5.7819 9.6126
angles (deg): 90.00 90.00 120.00
Closest atoms and distances in Å follow each position.
Fractional coordinates of all 18 atoms:
Tm1 0.3333 0.6667 0.2500  6 O 2.24
Tm2 0.6667 0.3333 0.7500  6 O 2.24
U1 0.3333 0.6667 0.7500  6 O 2.10
U2 0.6667 0.3333 0.2500  6 O 2.10
Bi1 0.0000 0.0000 0.0000  6 O 2.43
Bi2 0.0000 0.0000 0.5000  6 O 2.43
O1 0.0180 0.3610 0.6369  1 U 2.10, 1 Tm 2.24
O2 0.0180 0.6570 0.8631  1 U 2.10, 1 Tm 2.24
O3 0.3430 0.3610 0.8631  1 U 2.10, 1 Tm 2.24
O4 0.3430 0.9820 0.6369  1 U 2.10, 1 Tm 2.24
O5 0.3610 0.0180 0.1369  1 U 2.10, 1 Tm 2.24
O6 0.3610 0.3430 0.3631  1 U 2.10, 1 Tm 2.24
O7 0.6390 0.6570 0.6369  1 U 2.10, 1 Tm 2.24
O8 0.6390 0.9820 0.8631  1 U 2.10, 1 Tm 2.24
O9 0.6570 0.0180 0.3631  1 U 2.10, 1 Tm 2.24
O10 0.6570 0.6390 0.1369  1 U 2.10, 1 Tm 2.24
O11 0.9820 0.3430 0.1369  1 U 2.10, 1 Tm 2.24
O12 0.9820 0.6390 0.3631  1 U 2.10, 1 Tm 2.24

Question: The highest size of the total moment belongs to which entry?
Answer: LiMn2Co

Question: Look up the size of the total moment of the ninth one.
Answer: 0.00 μB per formula unit

Question: Which of these has the highest size of the total moment?
Answer: LiMn2Co

Question: Among the records above, which one has the lowest final energy?
Answer: YTc2Os